Compound: CsInHg4
Source: Alexandria via LeMat-Bulk
Functional: PBE-GGA
Structure: optimized geometry

Summary:
For the energy above the most stable polymorph in this dataset, the calculation gives 5.6 kJ/mol of atoms. The value obtained for the formation energy is -71 meV/atom. The value obtained for the raw total energy is -0.870 eV/atom.

CIF file:
```
data_CsInHg4
_chemical_formula_sum 'Cs4 In4 Hg16'
_cell_length_a 9.1769
_cell_length_b 9.1769
_cell_length_c 9.1769
_cell_angle_alpha 90.00
_cell_angle_beta 90.00
_cell_angle_gamma 90.00
_symmetry_space_group_name_H-M 'F -4 3 m'
_symmetry_Int_Tables_number 216
_symmetry_space_group_name_Hall 'F -4 2 3'
loop_
_atom_site_label
_atom_site_type_symbol
_atom_site_fract_x
_atom_site_fract_y
_atom_site_fract_z
Cs1 Cs 0.0000 0.0000 0.0000
In1 In 0.2500 0.2500 0.2500
Hg1 Hg 0.1239 0.1239 0.6239
```